Here is a relaxed AgPSCl2 crystal from Alexandria. Energies are from PBE.

The space group is P4/mmm (No. 123) and the conventional cell measures 4.817, 4.817 and 5.191 Å, with angles of 90.00, 90.00 and 90.00 degrees. The distinct sites, in fractional coordinates, are Ag at (0.000, 0.000, 0.000), P at (0.500, 0.500, 0.500), S at (0.000, 0.000, 0.500) and Cl at (0.000, 0.500, 0.000).

Its total magnetization is 1.26 μB/f.u. For the total energy, the calculation gives -2.506 eV per atom. Its density of states at the Fermi level is 0.473 states/eV/atom.